Material: CrSnO2
Method: DFT, PBE with a Hubbard U
State: relaxed

abc: 6.4644 6.4644 6.4644
angles: 30.74 30.74 30.74
Positions (direct):
Cr1 0.0000 0.0000 0.0000
Sn1 0.5000 0.5000 0.5000
O1 0.1091 0.1091 0.1091
O2 0.8909 0.8909 0.8909

## Properties
**Uncorrected energy**: -25.15 eV per cell
**Crystal system**: trigonal
**Distance to the lowest polymorph of the same formula**: 2.335 eV per formula unit
**DOS(E_F)**: 0.460 states/eV per atom